Entry 1:
Here is an optimized crystal structure of Zr2FeW from the Alexandria database. Energies are from PBE.

```
Zr2FeW
1.0
5.3083 0.0273 -0.0384
-2.0917 4.8789 -0.0384
0.5850 0.8923 2.7261
Fe W Zr
1 1 2
Direct
0.5000 0.0000 0.5000
0.0000 0.5000 0.5000
0.0000 0.0000 0.0000
0.5000 0.5000 0.0000
```

* space-group type: C2/m, No. 12
* total energy: -37.5 eV per cell
* M_tot: 1.034 μB/f.u.
* formation energy: 1.046 eV per formula unit
* E above lowest polymorph: 0.87 eV/f.u.


Entry 2:
Here is an optimized crystal structure of BeBiHPbN from the Alexandria database. Energies are from PBE.

```
BeBiHPbN
1.0
-1.5470 2.2827 -1.5007
-2.1365 -3.6651 -3.4148
-5.3134 -2.4198 1.7262
Be Bi H Pb N
1 1 1 1 1
Direct
0.5481 0.2178 0.9469
0.5446 0.9474 0.4321
0.0507 0.3015 0.6697
0.0532 0.6986 0.0607
0.0490 0.2314 0.8571
```

* space-group type: P1, No. 1
* total energy: -23.5 eV per cell
* M_tot: 0.000 μB/f.u.
* E above lowest polymorph: 0.03 eV/f.u.


Entry 3:
Here is an optimized crystal structure of LaTb8Dy6 from the Alexandria database. Energies are from PBE.

```
LaTb8Dy6
1.0
9.0460 0.0000 0.0000
4.5230 7.8340 0.0000
4.5230 2.6113 6.9029
La Tb Dy
1 8 6
Direct
0.0000 0.0000 0.0000
0.2544 0.2808 0.5764
0.7192 0.1116 0.4236
0.1116 0.7456 0.4236
0.5769 0.5769 0.2692
0.4231 0.4231 0.7308
0.8884 0.2544 0.5764
0.2808 0.8884 0.5764
0.7456 0.7192 0.4236
0.4643 0.8963 0.8771
0.1037 0.2377 0.1229
0.2377 0.5357 0.1229
0.7623 0.4643 0.8771
0.8963 0.7623 0.8771
0.5357 0.1037 0.1229
```

* space-group type: R-3, No. 148
* total energy: -67.6 eV per cell
* M_tot: 0.000 μB/f.u.
* formation energy: 2.013 eV per formula unit


Entry 4:
Here is an optimized crystal structure of SrTi4Cu3O12 from the Alexandria database. Energies are from PBE.

```
SrTi4Cu3O12
1.0
6.4927 0.0000 0.0000
-2.1642 6.1214 0.0000
-2.1642 -3.0607 5.3013
Sr Ti Cu O
1 4 3 12
Direct
0.0000 0.0000 0.0000
0.5000 0.5000 0.5000
0.5000 0.0000 0.0000
0.0000 0.5000 0.0000
0.0000 0.0000 0.5000
0.5000 0.5000 0.0000
0.5000 0.0000 0.5000
0.0000 0.5000 0.5000
0.8206 0.6950 0.5156
0.1794 0.3050 0.4844
0.1794 0.6950 0.8744
0.8206 0.3050 0.1256
0.6950 0.5156 0.8206
0.3050 0.4844 0.1794
0.6950 0.8744 0.1794
0.3050 0.1256 0.8206
0.5156 0.8206 0.6950
0.4844 0.1794 0.3050
0.1256 0.8206 0.3050
0.8744 0.1794 0.6950
```

* formation energy without anion corrections: -2.267 eV/atom
* space-group type: Im-3, No. 204
* total energy: -150.4 eV per cell
* M_tot: 3.002 μB/f.u.


Entry 5:
Here is an optimized crystal structure of Ba3LiC from the Alexandria database. Energies are from PBE.

```
Ba3LiC
1.0
5.8809 0.0000 0.0000
0.0000 5.8809 0.0000
0.0000 0.0000 5.8809
C Ba Li
1 3 1
Direct
0.0000 0.0000 0.0000
0.0000 0.5000 0.0000
0.0000 0.0000 0.5000
0.5000 0.0000 0.0000
0.5000 0.5000 0.5000
```

* space-group type: Pm-3m, No. 221
* total energy: -14.7 eV per cell
* M_tot: 0.000 μB/f.u.
* formation energy: 2.186 eV per formula unit
* E above lowest polymorph: 0.00 eV/f.u.


Entry 6:
Here is an optimized crystal structure of YHo3Tm4 from the Alexandria database. Energies are from PBE.

```
YHo3Tm4
1.0
6.2143 0.0000 0.0000
0.0000 7.1887 0.0000
0.0000 0.0000 11.1128
Y Ho Tm
2 6 8
Direct
0.1475 0.3740 0.0000
0.6475 0.6260 0.5000
0.6477 0.6263 0.0000
0.9823 0.6265 0.2501
0.4823 0.3735 0.2499
0.1477 0.3737 0.5000
0.4823 0.3735 0.7501
0.9823 0.6265 0.7499
0.1471 0.8760 0.0000
0.6480 0.1234 0.0000
0.9802 0.1236 0.2508
0.4802 0.8764 0.2492
0.1480 0.8766 0.5000
0.6471 0.1240 0.5000
0.4802 0.8764 0.7508
0.9802 0.1236 0.7492
```

* space-group type: Pmn2_1, No. 31
* total energy: -76.2 eV per cell
* M_tot: 0.000 μB/f.u.
* formation energy: -0.005 eV per formula unit
* E above lowest polymorph: 0.00 eV/f.u.